# 1
SrIn2Ag2 (GGA-PBE, optimized geometry); symmetry = No. 127
1.0
8.613 0.000 0.000
0.000 8.613 0.000
0.000 0.000 3.353
Sr In Ag
2 4 4
direct
0.000 0.000 0.000
0.500 0.500 0.000
0.128 0.372 0.000
0.372 0.872 0.000
0.628 0.128 0.000
0.872 0.628 0.000
0.168 0.668 0.500
0.332 0.168 0.500
0.668 0.832 0.500
0.832 0.332 0.500

=====

# 2
Sr3In4Ag2 (GGA-PBE, optimized geometry); symmetry = No. 12
1.0
6.062 -2.439 0.000
6.062 2.439 0.000
-2.649 0.000 9.220
Sr In Ag
3 4 2
direct
0.000 0.000 0.000
0.382 0.382 0.624
0.618 0.618 0.376
0.089 0.089 0.647
0.298 0.298 0.933
0.702 0.702 0.067
0.911 0.911 0.353
0.300 0.300 0.244
0.700 0.700 0.756

=====

Energy of formation from the pure elements / meV per atom: -102; -322
VASP energy / eV per atom: -2.675; -2.733